KScCd4 | GGA-PBE | relaxed

Values from the calculation:
Total moment   0.0 μB/f.u.
DFT formation energy   0.136 eV per formula unit

Unit cell a=5.9970 b=5.9970 c=5.9970 alpha=60.00 beta=60.00 gamma=60.00
Last column: nearest neighbours and their distance in Å.
Positions (direct):
K 0.0000 0.0000 0.0000  12 Cd 3.52, 4 Sc 3.67
Sc 0.7500 0.7500 0.7500  12 Cd 3.51, 4 K 3.67
Cd 0.3757 0.3757 0.3757  6 Cd 2.98-3.01
Cd 0.3757 0.3757 0.8730  6 Cd 2.98-3.01
Cd 0.3757 0.8730 0.3757  6 Cd 2.98-3.01
Cd 0.8730 0.3757 0.3757  6 Cd 2.98-3.01